No. 1
CsMgGa2Br8 | PBE-GGA | relaxed

Output
Space-group type: R-3, No. 148
E_form (uncorrected): -23.9 kcal/mol of atoms
D(E_F): 7.00 states/eV/cell

Cell lengths 10.948, 10.948, 10.948 Å; angles 36.89, 36.89, 36.89 degrees
Element x y z (fractional)
Cs  0.000  0.000  0.000
Mg  0.500  0.500  0.500
Ga  0.241  0.241  0.241
Ga  0.759  0.759  0.759
Br  0.134  0.772  0.437
Br  0.228  0.563  0.866
Br  0.320  0.320  0.320
Br  0.437  0.134  0.772
Br  0.563  0.866  0.228
Br  0.680  0.680  0.680
Br  0.772  0.437  0.134
Br  0.866  0.228  0.563


No. 2
Cs2Mg2GaBr7 | PBE-GGA | relaxed

Output
Space-group type: C2/m, No. 12
E_form (uncorrected): -31.9 kcal/mol of atoms
D(E_F): 0.00 states/eV/cell

Cell lengths 5.404, 5.404, 14.644 Å; angles 100.63, 100.63, 90.01 degrees
Element x y z (fractional)
Cs  0.179  0.179  0.359
Cs  0.821  0.821  0.641
Mg  0.405  0.405  0.811
Mg  0.595  0.595  0.189
Ga  0.000  0.000  0.000
Br  0.089  0.588  0.177
Br  0.312  0.312  0.624
Br  0.412  0.911  0.823
Br  0.500  0.500  0.000
Br  0.588  0.089  0.177
Br  0.688  0.688  0.376
Br  0.911  0.412  0.823


No. 3
Cs4Mn3GaBr12 | PBE-GGA | relaxed

Output
Space-group type: Im-3m, No. 229
E_form (uncorrected): -27.0 kcal/mol of atoms
D(E_F): 2.83 states/eV/cell

Cell lengths 9.479, 9.479, 9.479 Å; angles 109.47, 109.47, 109.47 degrees
Element x y z (fractional)
Cs  0.000  0.000  0.500
Cs  0.000  0.500  0.000
Cs  0.500  0.000  0.000
Cs  0.500  0.500  0.500
Mn  0.000  0.500  0.500
Mn  0.500  0.000  0.500
Mn  0.500  0.500  0.000
Ga  0.000  0.000  0.000
Br  0.000  0.263  0.263
Br  0.000  0.737  0.737
Br  0.250  0.500  0.750
Br  0.250  0.750  0.500
Br  0.263  0.000  0.263
Br  0.263  0.263  0.000
Br  0.500  0.250  0.750
Br  0.500  0.750  0.250
Br  0.737  0.000  0.737
Br  0.737  0.737  0.000
Br  0.750  0.250  0.500
Br  0.750  0.500  0.250


No. 4
Cs2MnGaBr6 | PBE-GGA | relaxed

Output
Space-group type: Fm-3m, No. 225
E_form (uncorrected): -26.7 kcal/mol of atoms
D(E_F): 2.89 states/eV/cell

Cell lengths 7.749, 7.749, 7.749 Å; angles 60.00, 60.00, 60.00 degrees
Element x y z (fractional)
Cs  0.250  0.250  0.250
Cs  0.750  0.750  0.750
Mn  0.000  0.000  0.000
Ga  0.500  0.500  0.500
Br  0.243  0.243  0.757
Br  0.243  0.757  0.243
Br  0.243  0.757  0.757
Br  0.757  0.243  0.243
Br  0.757  0.243  0.757
Br  0.757  0.757  0.243


No. 5
CsMnGaBr4 | PBE-GGA | relaxed

Output
Space-group type: P2_1/m, No. 11
E_form (uncorrected): -23.6 kcal/mol of atoms
D(E_F): 0.00 states/eV/cell

Cell lengths 6.511, 7.934, 10.291 Å; angles 90.00, 103.57, 90.00 degrees
Element x y z (fractional)
Cs  0.218  0.250  0.410
Cs  0.782  0.750  0.590
Mn  0.117  0.250  0.801
Mn  0.883  0.750  0.199
Ga  0.358  0.750  0.978
Ga  0.642  0.250  0.022
Br  0.098  0.250  0.041
Br  0.209  0.750  0.380
Br  0.315  0.508  0.757
Br  0.315  0.992  0.757
Br  0.685  0.008  0.243
Br  0.685  0.492  0.243
Br  0.791  0.250  0.620
Br  0.902  0.750  0.959


No. 6
Cs2NaGaBr6 | PBE-GGA | relaxed

Output
Space-group type: P-3m1, No. 164
E_form (uncorrected): -31.3 kcal/mol of atoms
D(E_F): 0.00 states/eV/cell

Cell lengths 7.796, 7.796, 7.085 Å; angles 90.00, 90.00, 120.00 degrees
Element x y z (fractional)
Cs  0.333  0.667  0.204
Cs  0.667  0.333  0.796
Na  0.000  0.000  0.500
Ga  0.000  0.000  0.000
Br  0.157  0.314  0.788
Br  0.157  0.843  0.788
Br  0.314  0.157  0.212
Br  0.686  0.843  0.788
Br  0.843  0.157  0.212
Br  0.843  0.686  0.212


No. 7
CsNaGa2Br8 | PBE-GGA | relaxed

Output
Space-group type: R-3, No. 148
E_form (uncorrected): -26.9 kcal/mol of atoms
D(E_F): 0.00 states/eV/cell

Cell lengths 11.077, 11.077, 11.077 Å; angles 37.01, 37.01, 37.01 degrees
Element x y z (fractional)
Cs  0.000  0.000  0.000
Na  0.500  0.500  0.500
Ga  0.249  0.249  0.249
Ga  0.751  0.751  0.751
Br  0.085  0.793  0.445
Br  0.207  0.555  0.915
Br  0.326  0.326  0.326
Br  0.445  0.085  0.793
Br  0.555  0.915  0.207
Br  0.674  0.674  0.674
Br  0.793  0.445  0.085
Br  0.915  0.207  0.555


No. 8
Cs2NaGaBr6 | PBE-GGA | relaxed

Output
Space-group type: Fm-3m, No. 225
E_form (uncorrected): -30.9 kcal/mol of atoms
D(E_F): 0.00 states/eV/cell

Cell lengths 7.868, 7.868, 7.868 Å; angles 60.00, 60.00, 60.00 degrees
Element x y z (fractional)
Cs  0.250  0.250  0.250
Cs  0.750  0.750  0.750
Na  0.000  0.000  0.000
Ga  0.500  0.500  0.500
Br  0.268  0.268  0.732
Br  0.268  0.732  0.268
Br  0.268  0.732  0.732
Br  0.732  0.268  0.268
Br  0.732  0.268  0.732
Br  0.732  0.732  0.268


No. 9
Cs2NbGaBr6 | PBE-GGA | relaxed

Output
Space-group type: Fm-3m, No. 225
E_form (uncorrected): -26.7 kcal/mol of atoms
D(E_F): 12.61 states/eV/cell

Cell lengths 8.049, 8.049, 8.049 Å; angles 60.00, 60.00, 60.00 degrees
Element x y z (fractional)
Cs  0.250  0.250  0.250
Cs  0.750  0.750  0.750
Nb  0.000  0.000  0.000
Ga  0.500  0.500  0.500
Br  0.234  0.234  0.766
Br  0.234  0.766  0.234
Br  0.234  0.766  0.766
Br  0.766  0.234  0.234
Br  0.766  0.234  0.766
Br  0.766  0.766  0.234


No. 10
Cs2NdGaBr6 | PBE-GGA | relaxed

Output
Space-group type: Fm-3m, No. 225
E_form (uncorrected): -37.1 kcal/mol of atoms
D(E_F): 0.00 states/eV/cell

Cell lengths 8.401, 8.401, 8.401 Å; angles 60.00, 60.00, 60.00 degrees
Element x y z (fractional)
Cs  0.250  0.250  0.250
Cs  0.750  0.750  0.750
Nd  0.000  0.000  0.000
Ga  0.500  0.500  0.500
Br  0.243  0.243  0.757
Br  0.243  0.757  0.243
Br  0.243  0.757  0.757
Br  0.757  0.243  0.243
Br  0.757  0.243  0.757
Br  0.757  0.757  0.243


No. 11
Cs2NpGaBr6 | PBE-GGA | relaxed

Output
Space-group type: Pmmn, No. 59
E_form (uncorrected): -32.0 kcal/mol of atoms
D(E_F): 13.52 states/eV/cell

Cell lengths 8.400, 11.859, 8.354 Å; angles 90.00, 90.00, 90.00 degrees
Element x y z (fractional)
Cs  0.250  0.007  0.249
Cs  0.250  0.493  0.249
Cs  0.750  0.507  0.751
Cs  0.750  0.993  0.751
Np  0.250  0.750  0.750
Np  0.750  0.250  0.250
Ga  0.250  0.250  0.750
Ga  0.750  0.750  0.250
Br  0.005  0.750  0.509
Br  0.005  0.750  0.991
Br  0.250  0.507  0.751
Br  0.250  0.993  0.751
Br  0.495  0.750  0.509
Br  0.495  0.750  0.991
Br  0.505  0.250  0.009
Br  0.505  0.250  0.491
Br  0.750  0.007  0.249
Br  0.750  0.493  0.249
Br  0.995  0.250  0.009
Br  0.995  0.250  0.491


No. 12
CsNpGa2Br8 | PBE-GGA | relaxed

Output
Space-group type: P-1, No. 2
E_form (uncorrected): -23.7 kcal/mol of atoms
D(E_F): 13.05 states/eV/cell

Cell lengths 7.675, 7.681, 9.216 Å; angles 70.00, 87.64, 77.06 degrees
Element x y z (fractional)
Cs  0.000  0.000  0.000
Np  0.000  0.500  0.500
Ga  0.477  0.389  0.227
Ga  0.523  0.611  0.773
Br  0.075  0.455  0.216
Br  0.249  0.178  0.634
Br  0.253  0.705  0.454
Br  0.479  0.739  0.022
Br  0.521  0.261  0.978
Br  0.747  0.295  0.546
Br  0.751  0.822  0.366
Br  0.925  0.545  0.784


No. 13
CsNpGaBr6 | PBE-GGA | relaxed

Output
Space-group type: P312, No. 149
E_form (uncorrected): -29.0 kcal/mol of atoms
D(E_F): 3.94 states/eV/cell

Cell lengths 7.826, 7.826, 7.674 Å; angles 90.00, 90.00, 120.00 degrees
Element x y z (fractional)
Cs  0.000  0.000  0.000
Np  0.667  0.333  0.500
Ga  0.333  0.667  0.500
Br  0.390  0.029  0.708
Br  0.390  0.361  0.292
Br  0.639  0.029  0.292
Br  0.639  0.610  0.708
Br  0.971  0.361  0.708
Br  0.971  0.610  0.292


No. 14
CsGaBr2O | PBE-GGA | relaxed

Output
Space-group type: P4/mmm, No. 123
E_form (uncorrected): -0.8 kcal/mol of atoms
D(E_F): 6.71 states/eV/cell

Cell lengths 6.591, 6.591, 4.629 Å; angles 90.00, 90.00, 90.00 degrees
Element x y z (fractional)
Cs  0.000  0.000  0.000
Ga  0.500  0.500  0.500
Br  0.000  0.500  0.000
Br  0.500  0.000  0.000
O  0.000  0.000  0.500


No. 15
Cs2GaBr6O | PBE-GGA | relaxed

Output
Space-group type: I4/mmm, No. 139
E_form (uncorrected): -17.6 kcal/mol of atoms
D(E_F): 4.31 states/eV/cell

Cell lengths 7.813, 7.813, 7.813 Å; angles 122.48, 122.48, 85.75 degrees
Element x y z (fractional)
Cs  0.250  0.750  0.500
Cs  0.750  0.250  0.500
Ga  0.000  0.000  0.000
Br  0.221  0.221  0.000
Br  0.247  0.247  0.493
Br  0.247  0.753  0.000
Br  0.753  0.247  0.000
Br  0.753  0.753  0.507
Br  0.779  0.779  0.000
O  0.500  0.500  0.000


No. 16
Cs2PaGaBr6 | PBE-GGA | relaxed

Output
Space-group type: R-3m, No. 166
E_form (uncorrected): -31.5 kcal/mol of atoms
D(E_F): 5.44 states/eV/cell

Cell lengths 14.227, 14.227, 14.227 Å; angles 34.80, 34.80, 34.80 degrees
Element x y z (fractional)
Cs  0.128  0.128  0.128
Cs  0.282  0.282  0.282
Cs  0.718  0.718  0.718
Cs  0.872  0.872  0.872
Pa  0.000  0.000  0.000
Pa  0.500  0.500  0.500
Ga  0.419  0.419  0.419
Ga  0.581  0.581  0.581
Br  0.116  0.637  0.637
Br  0.198  0.198  0.729
Br  0.198  0.729  0.198
Br  0.271  0.802  0.802
Br  0.363  0.363  0.884
Br  0.363  0.884  0.363
Br  0.637  0.116  0.637
Br  0.637  0.637  0.116
Br  0.729  0.198  0.198
Br  0.802  0.271  0.802
Br  0.802  0.802  0.271
Br  0.884  0.363  0.363


No. 17
Cs4GaPb3Br12 | PBE-GGA | relaxed

Output
Space-group type: Im-3m, No. 229
E_form (uncorrected): -28.5 kcal/mol of atoms
D(E_F): 1.66 states/eV/cell

Cell lengths 10.175, 10.175, 10.175 Å; angles 109.47, 109.47, 109.47 degrees
Element x y z (fractional)
Cs  0.000  0.000  0.500
Cs  0.000  0.500  0.000
Cs  0.500  0.000  0.000
Cs  0.500  0.500  0.500
Ga  0.000  0.000  0.000
Pb  0.000  0.500  0.500
Pb  0.500  0.000  0.500
Pb  0.500  0.500  0.000
Br  0.000  0.239  0.239
Br  0.000  0.761  0.761
Br  0.239  0.000  0.239
Br  0.239  0.239  0.000
Br  0.250  0.500  0.750
Br  0.250  0.750  0.500
Br  0.500  0.250  0.750
Br  0.500  0.750  0.250
Br  0.750  0.250  0.500
Br  0.750  0.500  0.250
Br  0.761  0.000  0.761
Br  0.761  0.761  0.000


No. 18
CsGa2PbBr8 | PBE-GGA | relaxed

Output
Space-group type: R-3, No. 148
E_form (uncorrected): -21.5 kcal/mol of atoms
D(E_F): 6.87 states/eV/cell

Cell lengths 11.237, 11.237, 11.237 Å; angles 37.22, 37.22, 37.22 degrees
Element x y z (fractional)
Cs  0.000  0.000  0.000
Ga  0.252  0.252  0.252
Ga  0.748  0.748  0.748
Pb  0.500  0.500  0.500
Br  0.093  0.443  0.788
Br  0.212  0.907  0.557
Br  0.328  0.328  0.328
Br  0.443  0.788  0.093
Br  0.557  0.212  0.907
Br  0.672  0.672  0.672
Br  0.788  0.093  0.443
Br  0.907  0.557  0.212


No. 19
CsGaPbBr4 | PBE-GGA | relaxed

Output
Space-group type: P2_1/m, No. 11
E_form (uncorrected): -23.6 kcal/mol of atoms
D(E_F): 0.00 states/eV/cell

Cell lengths 8.778, 7.782, 9.850 Å; angles 90.00, 103.05, 90.00 degrees
Element x y z (fractional)
Cs  0.250  0.250  0.020
Cs  0.750  0.750  0.980
Ga  0.146  0.250  0.469
Ga  0.854  0.750  0.531
Pb  0.280  0.750  0.336
Pb  0.720  0.250  0.664
Br  0.032  0.002  0.253
Br  0.032  0.498  0.253
Br  0.371  0.750  0.083
Br  0.431  0.250  0.395
Br  0.569  0.750  0.605
Br  0.629  0.250  0.917
Br  0.968  0.502  0.747
Br  0.968  0.998  0.747


No. 20
CsGaPdBr2 | PBE-GGA | relaxed

Output
Space-group type: P4/mmm, No. 123
E_form (uncorrected): -5.5 kcal/mol of atoms
D(E_F): 3.02 states/eV/cell

Cell lengths 5.401, 5.401, 5.860 Å; angles 90.00, 90.00, 90.00 degrees
Element x y z (fractional)
Cs  0.000  0.000  0.000
Ga  0.500  0.500  0.000
Pd  0.000  0.000  0.500
Br  0.000  0.500  0.500
Br  0.500  0.000  0.500